(1)
Pr4PuSe6 | PBE | optimized geometry

The space group is R-3c (No. 167, hexagonal axes) and the conventional cell measures 11.9772, 11.9772 and 14.3671 Å, with angles of 90.00, 90.00 and 120.00 degrees. The distinct sites, in fractional coordinates, are Pr at (0.0000, 0.0000, 0.2500), Pr at (0.0000, 0.3871, 0.2500), Pu at (0.0000, 0.0000, 0.0000) and Se at (0.0286, 0.2056, 0.3844).

For the total magnetization, the calculation gives 36.6 μB/cell. The calculation puts the density at 7153 kg/m³. As for the energy relative to the elements, uncorrected: -1.66 eV per atom.

(2)
Pr2Pu2Se7 | PBE | optimized geometry

The space group is P-4m2 (No. 115) and the conventional cell measures 4.8925, 4.8925 and 13.8731 Å, with angles of 90.00, 90.00 and 90.00 degrees. The distinct sites, in fractional coordinates, are Pr at (0.0000, 0.5000, 0.1413), Pu at (0.0000, 0.5000, 0.6195), Se at (0.0000, 0.0000, 0.2492), Se at (0.0000, 0.0000, 0.5000), Se at (0.5000, 0.5000, 0.0000), Se at (0.5000, 0.5000, 0.2655) and Se at (0.5000, 0.5000, 0.5000).

For the total magnetization, the calculation gives 8.1 μB/cell. The calculation puts the density at 6613 kg/m³. As for the energy relative to the elements, uncorrected: -1.39 eV per atom.

(3)
Pr2PuSe | PBE | optimized geometry

The space group is R-3m (No. 166, hexagonal axes) and the conventional cell measures 3.9167, 3.9167 and 28.8161 Å, with angles of 90.00, 90.00 and 120.00 degrees. The distinct sites, in fractional coordinates, are Pr at (0.0000, 0.0000, 0.2345), Pu at (0.0000, 0.0000, 0.0000) and Se at (0.0000, 0.0000, 0.5000).

For the total magnetization, the calculation gives 22.4 μB/cell. The calculation puts the density at 7870 kg/m³. As for the energy relative to the elements, uncorrected: -0.66 eV per atom.

(4)
Pr3SmPu2Se6 | PBE | optimized geometry

The space group is C2/m (No. 12) and the conventional cell measures 7.2685, 12.5963 and 7.3271 Å, with angles of 90.00, 109.30 and 90.00 degrees. The distinct sites, in fractional coordinates, are Pr at (0.0000, 0.0000, 0.0000), Pr at (0.0000, 0.3341, 0.0000), Sm at (0.0000, 0.5000, 0.5000), Pu at (0.0000, 0.1667, 0.5000), Se at (0.2444, 0.0000, 0.7406) and Se at (0.2481, 0.3321, 0.7404).

For the total magnetization, the calculation gives 23.0 μB/cell. The calculation puts the density at 8051 kg/m³. As for the energy relative to the elements, uncorrected: -1.75 eV per atom.

(5)
Pr2SmPuSe4 | PBE | optimized geometry

The space group is P2/m (No. 10) and the conventional cell measures 7.2949, 4.1899 and 7.3210 Å, with angles of 90.00, 109.16 and 90.00 degrees. The distinct sites, in fractional coordinates, are Pr at (0.0000, 0.0000, 0.0000), Pr at (0.5000, 0.5000, 0.0000), Sm at (0.0000, 0.5000, 0.5000), Pu at (0.5000, 0.0000, 0.5000), Se at (0.2485, 0.0000, 0.7413) and Se at (0.2547, 0.5000, 0.2597).

For the total magnetization, the calculation gives 5.8 μB/cell. The calculation puts the density at 7793 kg/m³. As for the energy relative to the elements, uncorrected: -1.77 eV per atom.

(6)
Pr3Sm2PuSe6 | PBE | optimized geometry

The space group is C2/m (No. 12) and the conventional cell measures 7.2801, 12.6104 and 7.3300 Å, with angles of 90.00, 109.30 and 90.00 degrees. The distinct sites, in fractional coordinates, are Pr at (0.0000, 0.0000, 0.0000), Pr at (0.0000, 0.3310, 0.0000), Sm at (0.0000, 0.1673, 0.5000), Pu at (0.0000, 0.5000, 0.5000), Se at (0.2458, 0.3346, 0.7409) and Se at (0.2495, 0.0000, 0.7420).

For the total magnetization, the calculation gives 11.6 μB/cell. The calculation puts the density at 7536 kg/m³. As for the energy relative to the elements, uncorrected: -1.80 eV per atom.

Question: Which formula does entry 1 have?
Answer: Pr4PuSe6

Question: What is the energy relative to the elements, uncorrected in the sixth record?
Answer: -1.80 eV per atom

Question: total magnetization of number 2 (Pr2Pu2Se7)?
Answer: 8.1 μB/cell